Record 1
# La4ErN5

A relaxed La4ErN5 crystal (PBE, the Alexandria database).

Summary:
As for the uncorrected formation energy: -13.86 eV per formula unit.

Unit cell a=5.479 b=6.347 c=6.347 alpha=79.26 beta=64.43 gamma=64.43
Fractional coordinates of all 10 atoms:
La 0.424 0.401 0.805
La 0.825 0.805 0.599
La 0.229 0.195 0.401
La 0.630 0.599 0.195
Er 0.034 0.000 0.000
N 0.886 0.383 0.806
N 0.269 0.806 0.617
N 0.693 0.194 0.383
N 0.076 0.617 0.194
N 0.445 0.000 0.000

***

Record 2
# LaEr2N

A relaxed LaEr2N crystal (PBE, the Alexandria database).

Summary:
As for the uncorrected formation energy: -2.97 eV per formula unit. For the relative energy among the computed polymorphs, the calculation gives 0 meV/atom.

Unit cell a=3.414 b=3.414 c=9.862 alpha=80.03 beta=80.03 gamma=60.00
Fractional coordinates of all 4 atoms:
N 0.500 0.500 0.500
La 0.000 0.000 0.000
Er 0.121 0.121 0.637
Er 0.879 0.879 0.363

***

Record 3
# La2ErN

A relaxed La2ErN crystal (PBE, the Alexandria database).

Summary:
As for the uncorrected formation energy: -2.16 eV per formula unit.

Unit cell a=3.599 b=3.599 c=10.062 alpha=79.70 beta=79.70 gamma=60.00
Fractional coordinates of all 4 atoms:
N 0.500 0.500 0.500
La 0.118 0.118 0.646
La 0.882 0.882 0.354
Er 0.000 0.000 0.000

***

Record 4
# LaEr2N

A relaxed LaEr2N crystal (PBE, the Alexandria database).

Summary:
As for the uncorrected formation energy: -0.74 eV per formula unit. For the relative energy among the computed polymorphs, the calculation gives 557 meV/atom.

Unit cell a=3.149 b=3.149 c=9.033 alpha=90.00 beta=90.00 gamma=90.00
Fractional coordinates of all 4 atoms:
N 0.500 0.500 0.000
La 0.500 0.500 0.500
Er 0.000 0.000 0.845
Er 0.000 0.000 0.155

***

Repeat the third record exactly.
# La2ErN

A relaxed La2ErN crystal (PBE, the Alexandria database).

Summary:
As for the uncorrected formation energy: -2.16 eV per formula unit.

Unit cell a=3.599 b=3.599 c=10.062 alpha=79.70 beta=79.70 gamma=60.00
Fractional coordinates of all 4 atoms:
N 0.500 0.500 0.500
La 0.118 0.118 0.646
La 0.882 0.882 0.354
Er 0.000 0.000 0.000